# TbPm5Nd2Er | Alexandria | PBE-GGA | relaxed
data_TbPm5Nd2Er
_space_group_name_H-M_alt 'I 4/m c m'
_space_group_IT_number 140
_space_group_name_Hall '-I 4 2c'
_cell_length_a 8.671
_cell_length_b 8.671
_cell_length_c 16.410
_cell_angle_alpha 90.00
_cell_angle_beta 90.00
_cell_angle_gamma 90.00
loop_
_atom_site_label
_atom_site_type_symbol
_atom_site_fract_x
_atom_site_fract_y
_atom_site_fract_z
Tb1 Tb 0.000 0.000 0.250
Pm1 Pm 0.000 0.000 0.000
Pm2 Pm 0.215 0.285 0.142
Nd1 Nd 0.120 0.380 0.500
Er1 Er 0.000 0.500 0.250
# V = 34.3 Å³ per atom
# ΔH_f (0 K) = 0.28 eV per atom
# spin magnetization = 0.001 μB per cell
# D(E_F) = 13.6 states/eV/f.u.

***

# TbTlInPb | Alexandria | PBE-GGA | relaxed
data_TbTlInPb
_space_group_name_H-M_alt 'F -4 3 m'
_space_group_IT_number 216
_space_group_name_Hall 'F -4 2 3'
_cell_length_a 7.728
_cell_length_b 7.728
_cell_length_c 7.728
_cell_angle_alpha 90.00
_cell_angle_beta 90.00
_cell_angle_gamma 90.00
loop_
_atom_site_label
_atom_site_type_symbol
_atom_site_fract_x
_atom_site_fract_y
_atom_site_fract_z
Tb1 Tb 0.000 0.000 0.000
Tl1 Tl 0.250 0.250 0.750
In1 In 0.250 0.250 0.250
Pb1 Pb 0.000 0.000 0.500
# energy above the lowest structure with this stoichiometry = 4.17 kcal/mol of atoms
# V = 28.8 Å³ per atom
# ΔH_f (0 K) = -0.13 eV per atom
# spin magnetization = 0.000 μB per cell
# D(E_F) = 1.5 states/eV/f.u.

***

# Li2AsW | Alexandria | PBE-GGA | relaxed
data_Li2AsW
_space_group_name_H-M_alt 'F -4 3 m'
_space_group_IT_number 216
_space_group_name_Hall 'F -4 2 3'
_cell_length_a 6.080
_cell_length_b 6.080
_cell_length_c 6.080
_cell_angle_alpha 90.00
_cell_angle_beta 90.00
_cell_angle_gamma 90.00
loop_
_atom_site_label
_atom_site_type_symbol
_atom_site_fract_x
_atom_site_fract_y
_atom_site_fract_z
Li1 Li 0.000 0.000 0.000
Li2 Li 0.250 0.250 0.250
As1 As 0.000 0.000 0.500
W1 W 0.250 0.250 0.750
# V = 14.0 Å³ per atom
# ΔH_f (0 K) = 0.26 eV per atom
# spin magnetization = 1.067 μB per cell
# D(E_F) = 3.7 states/eV/f.u.

***

# La3AgI | Alexandria | PBE-GGA | relaxed
data_La3AgI
_space_group_name_H-M_alt 'P m -3 m'
_space_group_IT_number 221
_space_group_name_Hall '-P 4 2 3'
_cell_length_a 5.902
_cell_length_b 5.902
_cell_length_c 5.902
_cell_angle_alpha 90.00
_cell_angle_beta 90.00
_cell_angle_gamma 90.00
loop_
_atom_site_label
_atom_site_type_symbol
_atom_site_fract_x
_atom_site_fract_y
_atom_site_fract_z
La1 La 0.000 0.000 0.500
Ag1 Ag 0.000 0.000 0.000
I1 I 0.500 0.500 0.500
# energy above the lowest structure with this stoichiometry = 0.00 kcal/mol of atoms
# V = 41.1 Å³ per atom
# spin magnetization = 1.087 μB per cell
# formation energy without anion corrections = 44.7 meV per atom
# D(E_F) = 10.3 states/eV/f.u.

***

# Sr8Zn2Cu | Alexandria | PBE-GGA | relaxed
data_Sr8Zn2Cu
_space_group_name_H-M_alt 'C 1 2/m 1'
_space_group_IT_number 12
_cell_length_a 13.770
_cell_length_b 9.966
_cell_length_c 7.508
_cell_angle_alpha 90.00
_cell_angle_beta 108.30
_cell_angle_gamma 90.00
loop_
_space_group_symop_operation_xyz
'x,y,z'
'-x,-y,-z'
'-x,y,-z'
'x,-y,z'
'x+1/2,y+1/2,z'
'-x+1/2,-y+1/2,-z'
'-x+1/2,y+1/2,-z'
'x+1/2,-y+1/2,z'
loop_
_atom_site_label
_atom_site_type_symbol
_atom_site_fract_x
_atom_site_fract_y
_atom_site_fract_z
Sr1 Sr 0.080 0.000 0.282
Sr2 Sr 0.132 0.500 0.242
Sr3 Sr 0.146 0.295 0.746
Zn1 Zn 0.181 0.000 0.943
Cu1 Cu 0.000 0.500 0.500
# V = 44.5 Å³ per atom
# ΔH_f (0 K) = -0.03 eV per atom
# spin magnetization = 0.000 μB per cell
# D(E_F) = 10.8 states/eV/f.u.

***

# SrFeSi2B | Alexandria | PBE-GGA | relaxed
data_SrFeSi2B
_space_group_name_H-M_alt 'P 4/m m m'
_space_group_IT_number 123
_space_group_name_Hall '-P 4 2'
_cell_length_a 4.294
_cell_length_b 4.294
_cell_length_c 5.722
_cell_angle_alpha 90.00
_cell_angle_beta 90.00
_cell_angle_gamma 90.00
loop_
_atom_site_label
_atom_site_type_symbol
_atom_site_fract_x
_atom_site_fract_y
_atom_site_fract_z
Sr1 Sr 0.000 0.000 0.000
Fe1 Fe 0.000 0.000 0.500
Si1 Si 0.000 0.500 0.500
B1 B 0.500 0.500 0.000
# energy above the lowest structure with this stoichiometry = 7.33 kcal/mol of atoms
# V = 21.1 Å³ per atom
# spin magnetization = 1.404 μB per cell
# formation energy without anion corrections = 770.6 meV per atom
# D(E_F) = 4.1 states/eV/f.u.